#P
Entry from Alexandria via LeMat-Bulk: crystalline K2Pa2Te7 at its relaxed geometry (PBE).

Cell: 6.1897 6.1897 11.0573 Å, 88.51 88.51 90.72°
Closest atoms and distances in Å follow each position.
Fractional positions:
K 0.2548 0.7452 0.5000  4 Te 3.42-3.43
K 0.7452 0.2548 0.5000  4 Te 3.42-3.43
Pa 0.6867 0.6867 0.8945  8 Te 2.93-3.24
Pa 0.3133 0.3133 0.1055  8 Te 2.93-3.24
Te 0.8062 0.4285 0.1398  3 Pa 3.16-3.24, 2 Te 3.33
Te 0.5715 0.1938 0.8602  3 Pa 3.16-3.24, 2 Te 3.33
Te 0.1938 0.5715 0.8602  3 Pa 3.16-3.24, 2 Te 3.33
Te 0.4285 0.8062 0.1398  3 Pa 3.16-3.24, 2 Te 3.33
Te 0.0000 0.0000 0.0000  2 Pa 3.00, 4 Te 3.33
Te 0.7494 0.7494 0.6325  1 Pa 2.93
Te 0.2506 0.2506 0.3675  1 Pa 2.93

Output
Its calculated volume is 423.3 Å³/cell. The value obtained for the density of states at the Fermi level is 5.22 states/eV per cell.

#Q
Entry from Alexandria via LeMat-Bulk: crystalline K2Pa2Te7 at its relaxed geometry (PBE).

Cell: 7.1378 8.8571 7.1378 Å, 90.00 97.94 90.00°
Closest atoms and distances in Å follow each position.
Fractional positions:
K 0.7648 0.5000 0.7648  6 Te 3.54-3.64
K 0.2352 0.5000 0.2352  6 Te 3.54-3.64
Pa 0.7258 0.0000 0.2742  7 Te 2.95-3.09
Pa 0.2742 0.0000 0.7258  7 Te 2.95-3.09
Te 0.0000 0.2239 0.5000  2 Pa 3.08
Te 0.5000 0.7761 0.0000  2 Pa 3.08
Te 0.0000 0.7761 0.5000  2 Pa 3.08
Te 0.5000 0.2239 0.0000  2 Pa 3.08
Te 0.0000 0.0000 0.0000  2 Pa 2.95
Te 0.5000 0.7845 0.5000  2 Pa 3.09
Te 0.5000 0.2155 0.5000  2 Pa 3.09

Output
Its calculated volume is 446.9 Å³/cell. The value obtained for the density of states at the Fermi level is 4.83 states/eV per cell.

Of them, #Q has the highest stability.

#P
Entry from Alexandria via LeMat-Bulk: crystalline K2PaTe4 at its relaxed geometry (PBE).

Cell: 5.2592 5.2592 9.3267 Å, 106.38 106.38 90.00°
Closest atoms and distances in Å follow each position.
Fractional positions:
K 0.7441 0.7441 0.4882  8 Te 3.55-3.69, 4 K 3.72
K 0.2559 0.2559 0.5118  8 Te 3.55-3.69, 4 K 3.72
Pa 0.0000 0.0000 0.0000  8 Te 3.18
Te 0.3957 0.8957 0.7914  2 Pa 3.18, 2 K 3.55
Te 0.8957 0.3957 0.7914  2 Pa 3.18, 2 K 3.55
Te 0.6043 0.1043 0.2086  2 Pa 3.18, 2 K 3.55
Te 0.1043 0.6043 0.2086  2 Pa 3.18, 2 K 3.55

Output
Its calculated volume is 236.6 Å³/cell. The value obtained for the density of states at the Fermi level is 2.72 states/eV per cell.

#Q
Entry from Alexandria via LeMat-Bulk: crystalline K2PaTe4 at its relaxed geometry (PBE).

Cell: 4.6135 8.7740 8.3438 Å, 114.17 90.00 90.00°
Closest atoms and distances in Å follow each position.
Fractional positions:
K 0.5000 0.3853 0.7948  6 Te 3.49-3.72
K 0.5000 0.7575 0.3481  6 Te 3.49-3.72
Pa 0.0000 0.0714 0.0715  6 Te 2.96-3.04
Te 0.5000 0.9937 0.8120  2 Pa 3.04
Te 0.0000 0.4345 0.1623  1 Pa 2.96
Te 0.5000 0.1491 0.3309  2 Pa 3.04
Te 0.0000 0.7083 0.9806  1 Pa 2.96

Output
Its calculated volume is 308.1 Å³/cell. The value obtained for the density of states at the Fermi level is 3.69 states/eV per cell.

Of them, #Q has the highest stability.

#P
Entry from Alexandria via LeMat-Bulk: crystalline KPb6 at its relaxed geometry (PBE).

Cell: 7.6453 7.6453 7.6453 Å, 90.00 90.00 90.00°
Closest atoms and distances in Å follow each position.
Fractional positions:
K 0.0000 0.0000 0.0000  24 Pb 5.62
Pb 0.2015 0.5000 0.5000  5 Pb 3.08-3.23
Pb 0.5000 0.5000 0.7985  5 Pb 3.08-3.23
Pb 0.5000 0.5000 0.2015  5 Pb 3.08-3.23
Pb 0.5000 0.2015 0.5000  5 Pb 3.08-3.23
Pb 0.5000 0.7985 0.5000  5 Pb 3.08-3.23
Pb 0.7985 0.5000 0.5000  5 Pb 3.08-3.23

Output
Its calculated volume is 446.9 Å³/cell. The value obtained for the density of states at the Fermi level is 4.88 states/eV per cell.

#Q
Entry from Alexandria via LeMat-Bulk: crystalline KPb6 at its relaxed geometry (PBE).

Cell: 7.5105 7.5105 7.5105 Å, 109.47 109.47 109.47°
Closest atoms and distances in Å follow each position.
Fractional positions:
K 0.0000 0.0000 0.0000  24 Pb 4.85
Pb 0.2500 0.7500 0.5000  4 Pb 3.07
Pb 0.5000 0.7500 0.2500  4 Pb 3.07
Pb 0.2500 0.5000 0.7500  4 Pb 3.07
Pb 0.7500 0.2500 0.5000  4 Pb 3.07
Pb 0.5000 0.2500 0.7500  4 Pb 3.07
Pb 0.7500 0.5000 0.2500  4 Pb 3.07

Output
Its calculated volume is 326.1 Å³/cell. The value obtained for the density of states at the Fermi level is 4.34 states/eV per cell.

#R
Entry from Alexandria via LeMat-Bulk: crystalline KPb6 at its relaxed geometry (PBE).

Cell: 6.9508 10.6400 13.3028 Å, 90.00 90.00 90.00°
Closest atoms and distances in Å follow each position.
Fractional positions:
K 0.7500 0.2421 0.9364  13 Pb 3.85-4.31
K 0.2500 0.7579 0.0636  13 Pb 3.85-4.31
K 0.7500 0.7421 0.5636  13 Pb 3.85-4.31
K 0.2500 0.2579 0.4364  13 Pb 3.85-4.31
Pb 0.7500 0.6071 0.0302  7 Pb 3.32-3.52
Pb 0.2500 0.3929 0.9698  7 Pb 3.32-3.52
Pb 0.7500 0.1071 0.4698  7 Pb 3.32-3.52
Pb 0.2500 0.8929 0.5302  7 Pb 3.32-3.52
Pb 0.0160 0.4392 0.1929  8 Pb 3.25-3.54
Pb 0.5160 0.5608 0.8071  8 Pb 3.25-3.54
Pb 0.4840 0.9392 0.3071  8 Pb 3.25-3.54
Pb 0.9840 0.0608 0.6929  8 Pb 3.25-3.54
Pb 0.9840 0.5608 0.8071  8 Pb 3.25-3.54
Pb 0.4840 0.4392 0.1929  8 Pb 3.25-3.54
Pb 0.5160 0.0608 0.6929  8 Pb 3.25-3.54
Pb 0.0160 0.9392 0.3071  8 Pb 3.25-3.54
Pb 0.2500 0.1486 0.1483  6 Pb 3.26-3.54
Pb 0.7500 0.8514 0.8517  6 Pb 3.26-3.54
Pb 0.2500 0.6486 0.3517  6 Pb 3.26-3.54
Pb 0.7500 0.3514 0.6483  6 Pb 3.26-3.54
Pb 0.2500 0.8082 0.7702  7 Pb 3.25-3.45
Pb 0.7500 0.1918 0.2298  7 Pb 3.25-3.45
Pb 0.2500 0.3082 0.7298  7 Pb 3.25-3.45
Pb 0.7500 0.6918 0.2702  7 Pb 3.25-3.45
Pb 0.2500 0.5752 0.5898  6 Pb 3.26-3.47
Pb 0.7500 0.4248 0.4102  6 Pb 3.26-3.47
Pb 0.2500 0.0752 0.9102  6 Pb 3.26-3.47
Pb 0.7500 0.9248 0.0898  6 Pb 3.26-3.47

Output
Its calculated volume is 983.8 Å³/cell. The value obtained for the density of states at the Fermi level is 15.48 states/eV per cell.

Of them, #R has the highest stability.